Material: BaSn
Method: DFT, GGA-PBE
State: relaxed

a = 7.0868 Å, b = 7.0868 Å, c = 7.0022 Å
α = 90.00°, β = 90.00°, γ = 90.00°
Fractional positions:
Ba 0.1842 0.1842 0.0000
Ba 0.3158 0.6842 0.5000
Ba 0.6842 0.3158 0.5000
Ba 0.8158 0.8158 0.0000
Sn 0.1434 0.1434 0.5000
Sn 0.3566 0.6434 0.0000
Sn 0.6434 0.3566 0.0000
Sn 0.8566 0.8566 0.5000

Summary:
* DOS(E_F): 2.29 states/eV/f.u.
* spin magnetization: 0.00 μB per cell
* uncorrected energy: -26.98 eV per cell
* crystal system: tetragonal
* formation energy from the elements: -0.410 eV/atom